No. 1
{
  "formula": "SiHgW2",
  "functional": "GGA-PBE",
  "state": "relaxed",
  "raw_formation_energy_mev_per_atom": 788,
  "sg": "Cmmm, No. 65",
  "polymorph_energy_ev_per_fu": 1.48,
  "e_tot_ev_per_atom": -7.120,
  "lattice_angstrom": [[-1.885, 0.755, -4.594], [-3.716, -0.436, 3.350], [0.062, 2.731, 0.424]],
  "species": ["Hg", "Si", "W", "W"],
  "fractional_positions": [[0.500, 0.000, 0.500], [0.000, 0.500, 0.500], [0.000, 0.000, 0.000], [0.500, 0.500, 0.000]]
}

---

No. 2
{
  "formula": "SiHg2W",
  "functional": "GGA-PBE",
  "state": "relaxed",
  "raw_formation_energy_mev_per_atom": 706,
  "sg": "Imm2, No. 44",
  "e_tot_ev_per_atom": -4.039,
  "lattice_angstrom": [[5.731, -0.002, 0.000], [2.863, 4.965, 0.000], [-3.797, -3.347, 2.688]],
  "species": ["Hg", "Hg", "Si", "W"],
  "fractional_positions": [[0.017, 0.017, 0.000], [0.736, 0.236, 0.500], [0.464, 0.464, 0.000], [0.283, 0.783, 0.500]]
}

---

No. 3
{
  "formula": "SiHg2W",
  "functional": "GGA-PBE",
  "state": "relaxed",
  "raw_formation_energy_mev_per_atom": 990,
  "sg": "I-42d, No. 122",
  "e_tot_ev_per_atom": -3.755,
  "lattice_angstrom": [[-2.910, 3.318, -6.274], [-6.745, 0.815, 3.560], [-4.063, 4.447, -0.452]],
  "species": ["Si", "Si", "Hg", "Hg", "Hg", "Hg", "W", "W"],
  "fractional_positions": [[0.500, 0.500, 0.000], [0.250, 0.750, 0.500], [0.609, 0.125, 0.250], [0.141, 0.625, 0.250], [0.375, 0.391, 0.750], [0.875, 0.859, 0.750], [0.000, 0.000, 0.000], [0.750, 0.250, 0.500]]
}

---

No. 4
{
  "formula": "SiHg2W",
  "functional": "GGA-PBE",
  "state": "relaxed",
  "raw_formation_energy_mev_per_atom": 847,
  "sg": "P4/mmm, No. 123",
  "e_tot_ev_per_atom": -3.898,
  "lattice_angstrom": [[-3.072, -3.765, 0.471], [2.865, -2.450, -0.906], [0.935, -0.294, 3.751]],
  "species": ["Hg", "Hg", "Si", "W"],
  "fractional_positions": [[0.000, 0.000, 0.000], [0.000, 0.500, 0.500], [0.500, 0.500, 0.000], [0.500, 0.000, 0.500]]
}